The following is a DFT calculation (PBE) of a geometry-optimized SrTlGe3 structure.

## Properties
offset from the most stable computed form	497.7	meV/atom
density of states at the Fermi level	7.25	states/eV/cell
E	-2.633	eV/atom

a b c (Å): 5.7114 5.7114 5.7114
angles (deg): 90.00 90.00 90.00
Fractional positions:
Sr: 0.0000 0.0000 0.0000
Tl: 0.5000 0.5000 0.5000
Ge: 0.0000 0.0000 0.5000
Ge: 0.0000 0.5000 0.0000
Ge: 0.5000 0.0000 0.0000